1.
The following is a SCAN calculation of a PBEsol-optimized structure of NbMoAu2, from the Alexandria database. Values from VASP.

Calculated values
DOS at the Fermi energy in states/eV/cell: 4.55
VASP energy in eV per cell: -205.23
Formation energy from the elements in eV per atom: 0.28
Magnetization in μB per atom: 0.000
SG: Fm-3m (225)

The structure in Quantum ESPRESSO input format:
```
&SYSTEM
  ibrav = 0, nat = 4, ntyp = 3
/
ATOMIC_SPECIES
Mo 95.94 Mo.upf
Au 196.97 Au.upf
Nb 92.91 Nb.upf
ATOMIC_POSITIONS angstrom
Mo -3.118 -1.893 -4.243
Au -4.676 -2.840 -6.365
Au -1.559 -0.947 -2.122
Nb 0.000 0.000 0.000
CELL_PARAMETERS angstrom
-0.050 -0.906 -4.477
-2.376 -3.567 -1.582
-3.809 0.688 -2.427
```

2.
The following is a SCAN calculation of a PBEsol-optimized structure of SmHoIn2, from the Alexandria database. Values from VASP.

Calculated values
DOS at the Fermi energy in states/eV/cell: 1.84
VASP energy in eV per cell: -162.70
Formation energy from the elements in eV per atom: -0.62
Magnetization in μB per atom: 0.001
SG: Fm-3m (225)

The structure in Quantum ESPRESSO input format:
```
&SYSTEM
  ibrav = 0, nat = 4, ntyp = 3
/
ATOMIC_SPECIES
In 114.82 In.upf
Sm 150.36 Sm.upf
Ho 164.93 Ho.upf
ATOMIC_POSITIONS angstrom
In -0.465 -2.951 1.202
In -1.396 -8.852 3.606
Sm 0.000 0.000 0.000
Ho -0.930 -5.901 2.404
CELL_PARAMETERS angstrom
-1.550 -4.897 -1.122
2.318 -4.094 2.347
-2.629 -2.811 3.583
```

3.
The following is a SCAN calculation of a PBEsol-optimized structure of MgSi2Cl, from the Alexandria database. Values from VASP.

Calculated values
DOS at the Fermi energy in states/eV/cell: 1.71
Energy relative to the elements, uncorrected in eV per atom: 0.453
VASP energy in eV per cell: -31.17
ΔE to the lowest computed polymorph in meV per atom: 991
Magnetization in μB per atom: 0.000
SG: Cmmm (65)

The structure in Quantum ESPRESSO input format:
```
&SYSTEM
  ibrav = 0, nat = 4, ntyp = 3
/
ATOMIC_SPECIES
Cl 35.45 Cl.upf
Mg 24.30 Mg.upf
Si 28.09 Si.upf
ATOMIC_POSITIONS angstrom
Cl 0.788 1.312 4.466
Mg 0.788 1.312 0.000
Si 0.000 0.000 6.599
Si 0.000 0.000 2.333
CELL_PARAMETERS angstrom
3.018 -0.028 0.000
-1.441 2.652 0.000
0.000 0.000 8.932
```

4.
The following is a SCAN calculation of a PBEsol-optimized structure of KCa9CoP7O28, from the Alexandria database. Values from VASP.

Calculated values
DOS at the Fermi energy in states/eV/cell: 13.64
Energy relative to the elements, uncorrected in eV per atom: -3.056
VASP energy in eV per cell: -1000.88
Magnetization in μB per atom: 0.065
SG: R3c (161)

The structure in Quantum ESPRESSO input format:
```
&SYSTEM
  ibrav = 0, nat = 92, ntyp = 5
/
ATOMIC_SPECIES
Ca 40.08 Ca.upf
O 16.00 O.upf
P 30.97 P.upf
K 39.10 K.upf
Co 58.93 Co.upf
ATOMIC_POSITIONS angstrom
Ca -2.526 -9.017 10.272
Ca -0.296 -4.988 13.157
Ca -6.240 -7.010 10.153
Ca -3.897 -6.506 15.031
Ca 0.476 -3.377 8.793
Ca -3.234 -5.847 18.508
Ca -2.868 -5.326 8.248
Ca 0.041 -6.029 6.396
Ca -3.991 -2.737 12.893
Ca -1.379 -8.745 17.063
Ca -5.188 -2.983 6.101
Ca -3.058 -9.441 20.523
Ca -3.276 -1.666 8.854
Ca -6.615 -7.363 20.319
Ca -6.801 -5.853 16.911
Ca -0.226 -0.748 3.438
Ca -0.176 0.230 6.904
Ca -6.265 -11.227 19.846
O -2.196 -6.478 13.363
O -6.113 -9.348 18.248
O -5.132 -8.092 13.785
O -4.750 -2.825 10.656
O -0.241 -8.252 9.768
O -2.148 -1.770 11.220
O -0.047 -2.736 13.813
O -1.792 -7.731 19.127
O -6.290 -11.425 10.076
O -6.813 -4.705 6.364
O -6.426 -3.457 16.809
O 0.216 -6.373 11.311
O -5.433 -9.464 21.135
O -6.787 -9.148 9.099
O -0.169 -4.922 15.591
O -0.772 -2.690 2.206
O -1.856 -9.623 8.000
O -2.054 -6.446 16.501
O -0.053 -5.849 8.825
O -6.540 -3.603 13.113
O -4.978 -7.521 16.883
O -1.523 -8.736 12.364
O -2.234 -7.229 7.112
O -3.638 -9.540 17.670
O -1.119 -1.866 7.727
O -5.719 -5.531 18.956
O -0.490 -2.185 5.307
O -6.444 -8.814 11.816
O -6.405 -5.675 14.646
O -4.886 -2.579 15.069
O -2.071 -6.615 10.144
O -4.435 -5.562 6.386
O -4.243 -10.046 12.400
O -2.936 -2.243 6.020
O -0.038 -3.252 11.103
O -6.663 -5.908 12.170
O -0.407 -0.325 13.337
O -1.372 -4.144 6.677
O -2.339 -1.638 14.309
O 0.011 -7.526 13.924
O 0.326 -6.991 16.960
O -2.216 -4.142 12.028
O -6.711 -4.162 9.708
O -6.253 -6.621 7.881
O -4.471 -5.053 13.178
O -4.495 -5.325 10.079
O -0.089 -8.437 6.636
O -1.328 -6.439 4.513
O -4.429 -7.812 19.327
O -4.365 -10.016 9.305
O -4.611 -3.589 8.306
O -4.252 -7.727 11.389
O -4.189 -4.603 16.526
O -4.754 -3.690 3.888
O -2.190 -8.583 14.762
O -1.947 -3.610 9.538
P -0.666 -5.787 16.767
P -6.029 -5.056 13.285
P -5.181 -3.961 9.709
P -5.838 -10.370 9.017
P -4.905 -3.238 16.482
P -4.792 -8.561 18.023
P -0.510 -6.735 10.002
P -1.626 -8.620 6.841
P -1.581 -3.182 10.972
P -1.467 -7.836 13.613
P -4.994 -8.699 12.376
P -5.921 -5.978 6.519
P -0.805 -1.476 14.330
P -1.482 -2.615 6.423
K -5.513 -10.049 15.431
K -2.203 -4.103 3.832
Co -7.099 -13.323 9.728
Co -3.289 -5.903 11.675
CELL_PARAMETERS angstrom
-8.162 -4.297 4.737
1.042 -9.069 4.917
0.499 1.474 13.546
```

5.
The following is a SCAN calculation of a PBEsol-optimized structure of Zn2SiIr, from the Alexandria database. Values from VASP.

Calculated values
DOS at the Fermi energy in states/eV/cell: 1.23
Energy relative to the elements, uncorrected in eV per atom: 0.075
VASP energy in eV per cell: -107.85
Magnetization in μB per atom: 0.000
SG: Cmm2 (35)

The structure in Quantum ESPRESSO input format:
```
&SYSTEM
  ibrav = 0, nat = 4, ntyp = 3
/
ATOMIC_SPECIES
Zn 65.41 Zn.upf
Ir 192.22 Ir.upf
Si 28.09 Si.upf
ATOMIC_POSITIONS angstrom
Zn 0.009 0.021 0.005
Zn 3.606 5.021 2.106
Ir 1.663 3.708 0.962
Si 1.958 1.347 1.153
CELL_PARAMETERS angstrom
-0.165 -0.629 2.708
2.295 -0.657 -1.434
3.404 7.588 1.969
```

6.
The following is a SCAN calculation of a PBEsol-optimized structure of SiAg2O3, from the Alexandria database. Values from VASP.

Calculated values
Energy relative to the elements, uncorrected in eV per atom: -1.583
VASP energy in eV per cell: -403.77
Magnetization in μB per atom: 0.000
SG: P2_12_12_1 (19)

The structure in Quantum ESPRESSO input format:
```
&SYSTEM
  ibrav = 0, nat = 24, ntyp = 3
/
ATOMIC_SPECIES
O 16.00 O.upf
Ag 107.87 Ag.upf
Si 28.09 Si.upf
ATOMIC_POSITIONS angstrom
O -1.025 -0.306 6.462
O 0.306 -4.160 2.760
O 4.772 -0.901 6.230
O 2.778 -4.947 3.521
O 0.795 1.352 7.547
O 2.592 1.599 10.343
O -1.165 3.155 9.330
O 1.031 0.541 5.009
O 1.463 -1.207 7.015
O -1.289 -1.834 4.282
O 3.155 -1.570 3.545
O 2.715 -1.062 9.962
Ag 0.426 -0.147 1.535
Ag 0.921 -1.914 3.719
Ag 3.642 -0.925 8.013
Ag -0.016 3.439 7.107
Ag 1.224 -3.145 6.213
Ag 0.083 1.104 9.574
Ag 0.596 -1.636 9.340
Ag 3.875 -3.001 5.169
Si -1.826 -1.612 5.819
Si 3.557 -1.722 1.958
Si 0.592 0.069 6.540
Si 3.053 0.151 11.018
CELL_PARAMETERS angstrom
-2.415 -3.464 1.731
5.782 -2.985 2.095
-0.679 4.892 8.842
```

7.
The following is a SCAN calculation of a PBEsol-optimized structure of Mn2InCl, from the Alexandria database. Values from VASP.

Calculated values
DOS at the Fermi energy in states/eV/cell: 2.14
Energy relative to the elements, uncorrected in eV per atom: -0.241
VASP energy in eV per cell: -78.84
ΔE to the lowest computed polymorph in meV per atom: 66
Magnetization in μB per atom: 1.919
SG: C2/m (12)

The structure in Quantum ESPRESSO input format:
```
&SYSTEM
  ibrav = 0, nat = 4, ntyp = 3
/
ATOMIC_SPECIES
Mn 54.94 Mn.upf
In 114.82 In.upf
Cl 35.45 Cl.upf
ATOMIC_POSITIONS angstrom
Mn 2.960 0.506 1.900
Mn 2.960 5.019 3.273
In 1.480 2.763 2.587
Cl 1.480 0.000 0.000
CELL_PARAMETERS angstrom
2.960 0.000 0.000
1.480 4.581 -0.783
1.480 0.944 5.957
```

8.
The following is a SCAN calculation of a PBEsol-optimized structure of Nb2CrOs, from the Alexandria database. Values from VASP.

Calculated values
DOS at the Fermi energy in states/eV/cell: 1.18
VASP energy in eV per cell: -157.55
Formation energy from the elements in eV per atom: -0.26
Magnetization in μB per atom: 0.000
SG: Fm-3m (225)

The structure in Quantum ESPRESSO input format:
```
&SYSTEM
  ibrav = 0, nat = 4, ntyp = 3
/
ATOMIC_SPECIES
Os 190.23 Os.upf
Nb 92.91 Nb.upf
Cr 52.00 Cr.upf
ATOMIC_POSITIONS angstrom
Os 4.414 2.548 1.802
Nb 6.620 3.822 2.703
Nb 2.207 1.274 0.901
Cr 0.000 0.000 0.000
CELL_PARAMETERS angstrom
4.414 0.000 0.000
2.207 3.822 0.000
2.207 1.274 3.604
```

9.
The following is a SCAN calculation of a PBEsol-optimized structure of MoW2Br, from the Alexandria database. Values from VASP.

Calculated values
DOS at the Fermi energy in states/eV/cell: 3.05
Energy relative to the elements, uncorrected in eV per atom: 1.174
VASP energy in eV per cell: -189.02
ΔE to the lowest computed polymorph in meV per atom: 351
Magnetization in μB per atom: 0.000
SG: C2/m (12)

The structure in Quantum ESPRESSO input format:
```
&SYSTEM
  ibrav = 0, nat = 4, ntyp = 3
/
ATOMIC_SPECIES
W 183.84 W.upf
Mo 95.94 Mo.upf
Br 79.90 Br.upf
ATOMIC_POSITIONS angstrom
W 0.563 1.214 2.294
W -0.563 -1.214 2.294
Mo 1.446 0.002 0.000
Br -0.320 2.427 0.000
CELL_PARAMETERS angstrom
2.893 0.004 0.000
-0.640 4.854 0.000
-1.126 -2.429 4.588
```